5
Lattice="-2.706 2.706 4.818 2.706 -2.706 4.818 2.706 2.706 -4.818" Properties=species:S:1:pos:R:3 comment="GGA-PBE Cs2ZrRh2, optimized geometry" sg="I4/mmm (139)" magmom_total_mub_per_fu=0.00 ef_ev_per_atom=1.598 n_ef_per_ev_cell=3.58 crystal_system=tetragonal pbc="T T T"
Cs 0.000 0.000 1.566
Cs 0.000 0.000 8.070
Zr 0.000 0.000 4.818
Rh 2.706 0.000 2.409
Rh 0.000 2.706 2.409